# Ac2ZnCd3Ag12

A geometry-optimized Ac2ZnCd3Ag12 structure (PBE-GGA, the Alexandria database).

Its space-group type is No. 166. For the calculated total energy, the calculation gives -2.4161 eV/atom.

abc: 8.353 8.353 8.353
angles: 67.05 67.05 67.05
Fractional coordinates of all 18 atoms:
Ac1 0.103 0.103 0.103
Ac2 0.897 0.897 0.897
Zn1 0.500 0.500 0.500
Cd1 0.000 0.500 0.500
Cd2 0.500 0.000 0.500
Cd3 0.500 0.500 0.000
Ag1 0.121 0.121 0.513
Ag2 0.121 0.513 0.121
Ag3 0.154 0.642 0.642
Ag4 0.358 0.358 0.846
Ag5 0.358 0.846 0.358
Ag6 0.487 0.879 0.879
Ag7 0.513 0.121 0.121
Ag8 0.642 0.154 0.642
Ag9 0.642 0.642 0.154
Ag10 0.846 0.358 0.358
Ag11 0.879 0.487 0.879
Ag12 0.879 0.879 0.487